VASP calculation (PBE) on crystalline Pu2SeN at its relaxed geometry.

It has space group P4/nmm (No. 129, origin choice 2), with a = 4.3931 Å, b = 4.3931 Å, c = 8.7997 Å, α = 90.00°, β = 90.00° and γ = 90.00°. The asymmetric unit holds Pu at (0.2500, 0.2500, 0.1525), Pu at (0.2500, 0.7500, 0.5000), Se at (0.2500, 0.2500, 0.8048) and N at (0.2500, 0.2500, 0.3990).

For the total magnetization, the calculation gives 11.0 μB/f.u. Its uncorrected energy is -0.4175 hartree per atom. As for the energy above the most stable polymorph in this dataset: 78 meV per atom. For the calculated density, the calculation gives 11.361 g/cm³.